Entry 1:
Entry from Alexandria: a relaxed structure of Zn2NiHPt (PBE).

Properties
The total magnetization is 0.00 μB/f.u. The total DFT energy (no corrections) is -3.7717 eV per atom.

Unit cell a=4.2318 b=4.2318 c=3.1959 alpha=90.00 beta=90.00 gamma=90.00
With the nearest neighbours (Å) after each atom.
Space group P4/mmm (No. 123)
Unique sites:
Zn (0.0000, 0.5000, 0.0000) (multiplicity 2)  2 H 2.12
Ni (0.0000, 0.0000, 0.5000) (multiplicity 1)  2 H 1.60
H (0.0000, 0.0000, 0.0000) (multiplicity 1)  2 Ni 1.60
Pt (0.5000, 0.5000, 0.5000) (multiplicity 1)  8 Zn 2.65

---

Entry 2:
Entry from Alexandria: a relaxed structure of Tl4Os5 (PBE).

Properties
The total magnetization is 0.00 μB/f.u. The value obtained for the formation energy is 1.045 eV/atom.

Unit cell a=8.7706 b=8.7706 c=4.4831 alpha=90.00 beta=90.00 gamma=90.00
With the nearest neighbours (Å) after each atom.
Space group I4/mmm (No. 139)
Unique sites:
Tl (0.0000, 0.3139, 0.0000) (multiplicity 8)  5 Os 2.75-2.97
Os (0.0000, 0.0000, 0.0000) (multiplicity 2)  4 Tl 2.75, 8 Os 2.86
Os (0.1427, 0.1427, 0.5000) (multiplicity 8)  2 Os 2.50

---

Entry 3:
Entry from Alexandria: a relaxed structure of PrLuInPd (PBE).

Properties
The total magnetization is 0.00 μB/f.u. The value obtained for the formation energy is -0.551 eV/atom.

Unit cell a=7.3794 b=7.3794 c=7.3794 alpha=90.00 beta=90.00 gamma=90.00
With the nearest neighbours (Å) after each atom.
Space group F-43m (No. 216)
Unique sites:
Pr (0.0000, 0.0000, 0.0000) (multiplicity 4)  4 In 3.20, 4 Pd 3.20
Lu (0.0000, 0.0000, 0.5000) (multiplicity 4)  4 Pd 3.20, 4 In 3.20
In (0.2500, 0.2500, 0.2500) (multiplicity 4)  4 Pr 3.20, 4 Lu 3.20
Pd (0.2500, 0.2500, 0.7500) (multiplicity 4)  4 Pr 3.20, 4 Lu 3.20

---

Entry 4:
Entry from Alexandria: a relaxed structure of As2PIr (PBE).

Properties
The total magnetization is 0.00 μB/f.u. The value obtained for the formation energy is 0.163 eV/atom.

Unit cell a=6.1491 b=3.5487 c=6.5944 alpha=90.00 beta=108.31 gamma=90.00
With the nearest neighbours (Å) after each atom.
Space group C2/m (No. 12)
Unique sites:
As (0.2488, 0.0000, 0.2442) (multiplicity 4)  3 Ir 2.56, 3 P 2.60-2.61
P (0.0000, 0.0000, 0.5000) (multiplicity 2)  6 As 2.60-2.61
Ir (0.0000, 0.5000, 0.0000) (multiplicity 2)  6 As 2.56

---

Entry 5:
Entry from Alexandria: a relaxed structure of BeInCu2 (PBE).

Properties
The total magnetization is 0.00 μB/f.u. The value obtained for the formation energy is 0.194 eV/atom.

Unit cell a=6.0184 b=6.0184 c=6.0184 alpha=90.00 beta=90.00 gamma=90.00
With the nearest neighbours (Å) after each atom.
Space group F-43m (No. 216)
Unique sites:
Be (0.0000, 0.0000, 0.0000) (multiplicity 4)  4 In 2.61, 4 Cu 2.61
In (0.2500, 0.2500, 0.7500) (multiplicity 4)  4 Be 2.61, 4 Cu 2.61
Cu (0.0000, 0.0000, 0.5000) (multiplicity 4)  4 In 2.61, 4 Cu 2.61
Cu (0.2500, 0.2500, 0.2500) (multiplicity 4)  4 Be 2.61, 4 Cu 2.61

---

Entry 6:
Entry from Alexandria: a relaxed structure of BaSrBe2Cl8 (PBE).

Properties
The total magnetization is 0.00 μB/f.u. The total DFT energy (no corrections) is -4.1041 eV per atom.

Unit cell a=6.2690 b=6.2690 c=27.1458 alpha=90.00 beta=90.00 gamma=120.00
With the nearest neighbours (Å) after each atom.
Space group R-3 (No. 148, hexagonal axes)
Unique sites:
Ba (0.0000, 0.0000, 0.0000) (multiplicity 3)  12 Cl 3.41-3.62
Sr (0.0000, 0.0000, 0.5000) (multiplicity 3)  6 Cl 2.95
Be (0.0000, 0.0000, 0.2562) (multiplicity 6)  4 Cl 2.01-2.03
Cl (0.0000, 0.0000, 0.3301) (multiplicity 6)  1 Be 2.01
Cl (0.0089, 0.3799, 0.4344) (multiplicity 18)  1 Be 2.03